NiBF2: relaxed, PBE with a Hubbard U.

Properties
**Energy**: -3.555 eV per atom
**Crystal system**: tetragonal

Cell lengths 5.439, 5.439, 5.439 Å; angles 97.99, 97.99, 136.22 degrees
Positions (direct):
Ni  0.000  0.000  0.000
Ni  0.750  0.250  0.500
B  0.250  0.750  0.500
B  0.500  0.500  0.000
F  0.375  0.231  0.356
F  0.769  0.125  0.144
F  0.875  0.019  0.644
F  0.981  0.625  0.856